La4GaPbO | PBE-GGA | relaxed

Unit cell a=6.8249 b=6.8338 c=9.4621 alpha=90.00 beta=111.14 gamma=90.00
Closest atoms and distances in Å follow each position.
Fractional coordinates of all 14 atoms:
La1 0.5000 0.0000 0.5000  2 O 2.49
La2 0.5556 0.2500 0.1112  1 Ga 3.10
La3 0.0000 0.0000 0.5000  2 O 2.49
La4 0.9206 0.2500 0.8412  1 O 2.40
La5 0.4444 0.7500 0.8888  1 Ga 3.10
La6 0.5000 0.5000 0.5000  2 O 2.49
La7 0.0000 0.5000 0.5000  2 O 2.49
La8 0.0794 0.7500 0.1588  1 O 2.40
Pb1 0.8910 0.7500 0.7820  9 La 3.32-3.54
Pb2 0.1090 0.2500 0.2180  9 La 3.32-3.54
O1 0.7848 0.2500 0.5696  5 La 2.40-2.49
O2 0.2152 0.7500 0.4304  5 La 2.40-2.49
Ga1 0.3801 0.2500 0.7602  5 La 3.10-3.33
Ga2 0.6199 0.7500 0.2398  5 La 3.10-3.33

Summary:
ΔE_f (raw) ... -1164 meV/atom

---

Dy12YSc5 | PBE-GGA | relaxed

Unit cell a=6.0384 b=6.0399 c=16.8933 alpha=93.39 beta=96.80 gamma=60.01
Closest atoms and distances in Å follow each position.
Fractional coordinates of all 18 atoms:
Sc1 0.8334 0.3332 0.5000  6 Dy 3.37, 6 Sc 3.49
Sc2 0.3334 0.3333 0.0000  6 Dy 3.43, 3 Y 3.49, 3 Sc 3.49
Sc3 0.5000 0.0000 0.5000  6 Dy 3.37, 6 Sc 3.49
Sc4 0.1666 0.6668 0.5000  6 Dy 3.37, 6 Sc 3.49
Sc5 0.6667 0.6667 0.0000  6 Dy 3.43, 3 Y 3.49, 3 Sc 3.49
Dy1 0.8865 0.6667 0.6610  3 Sc 3.37, 9 Dy 3.49-3.54
Dy2 0.2196 0.0000 0.6610  3 Sc 3.37, 9 Dy 3.49-3.54
Dy3 0.3922 0.0000 0.1661  2 Sc 3.43, 1 Y 3.45, 9 Dy 3.47-3.54
Dy4 0.2806 0.6636 0.8340  2 Sc 3.43, 1 Y 3.45, 9 Dy 3.47-3.54
Dy5 0.1135 0.3333 0.3390  3 Sc 3.37, 9 Dy 3.49-3.54
Dy6 0.5532 0.3333 0.6610  3 Sc 3.37, 9 Dy 3.49-3.54
Dy7 0.0558 0.6636 0.1660  2 Sc 3.43, 1 Y 3.45, 9 Dy 3.47-3.54
Dy8 0.9442 0.3364 0.8340  2 Sc 3.43, 1 Y 3.45, 9 Dy 3.47-3.54
Dy9 0.7194 0.3364 0.1660  2 Sc 3.43, 1 Y 3.45, 9 Dy 3.47-3.54
Dy10 0.4468 0.6667 0.3390  3 Sc 3.37, 9 Dy 3.49-3.54
Dy11 0.6078 0.0000 0.8339  2 Sc 3.43, 1 Y 3.45, 9 Dy 3.47-3.54
Dy12 0.7804 0.0000 0.3390  3 Sc 3.37, 9 Dy 3.49-3.54
Y1 0.0000 0.0000 0.0000  6 Dy 3.45, 6 Sc 3.49

Summary:
Calculated formation energy ... 0.035 eV per atom

---

AcMg2Tl4 | PBE-GGA | relaxed

Unit cell a=5.1975 b=5.1975 c=9.3783 alpha=73.91 beta=73.91 gamma=60.00
Closest atoms and distances in Å follow each position.
Fractional coordinates of all 7 atoms:
Mg1 0.2510 0.2510 0.2471  7 Tl 3.05-3.32
Mg2 0.7490 0.7490 0.7529  7 Tl 3.05-3.32
Tl1 0.1359 0.1359 0.5922  4 Mg 3.07-3.32, 3 Tl 3.42
Tl2 0.3958 0.3958 0.8126  3 Mg 3.05
Tl3 0.8641 0.8641 0.4078  4 Mg 3.07-3.32, 3 Tl 3.42
Tl4 0.6042 0.6042 0.1874  3 Mg 3.05
Ac1 0.0000 0.0000 0.0000  8 Tl 3.43-3.62, 6 Mg 3.72

Summary:
Calculated formation energy ... -0.158 eV per atom

---

Cs3SrGe2I9 | PBE-GGA | relaxed

Unit cell a=8.6969 b=8.6969 c=10.6924 alpha=90.00 beta=90.00 gamma=120.00
Closest atoms and distances in Å follow each position.
Fractional coordinates of all 15 atoms:
Ge1 0.3333 0.6667 0.1555  6 I 2.99-3.01
Ge2 0.6667 0.3333 0.8445  6 I 2.99-3.01
Cs1 0.6667 0.3333 0.3234  12 I 4.27-4.49
Cs2 0.0000 0.0000 0.0000  12 I 4.33-4.35
Cs3 0.3333 0.6667 0.6766  12 I 4.27-4.49
I1 0.5000 0.5000 0.0000  2 Ge 3.01
I2 0.5000 0.0000 0.0000  2 Ge 3.01
I3 0.8263 0.6525 0.6776  1 Ge 2.99, 1 Sr 3.23
I4 0.6525 0.8263 0.3224  1 Ge 2.99, 1 Sr 3.23
I5 0.1737 0.8263 0.3224  1 Ge 2.99, 1 Sr 3.23
I6 0.1737 0.3475 0.3224  1 Ge 2.99, 1 Sr 3.23
I7 0.0000 0.5000 0.0000  2 Ge 3.01
I8 0.3475 0.1737 0.6776  1 Ge 2.99, 1 Sr 3.23
I9 0.8263 0.1737 0.6776  1 Ge 2.99, 1 Sr 3.23
Sr1 0.0000 0.0000 0.5000  6 I 3.23

Summary:
ΔE_f (raw) ... -1075 meV/atom

---

TlFeBr2 | PBE-GGA | relaxed

Unit cell a=3.5537 b=6.0828 c=6.0918 alpha=63.49 beta=90.00 gamma=90.00
Closest atoms and distances in Å follow each position.
Fractional coordinates of all 4 atoms:
Br1 0.0000 0.4196 0.4197  2 Fe 2.50
Br2 0.0000 0.0804 0.0803  2 Fe 2.50
Tl1 0.5000 0.7500 0.7500  2 Fe 3.20, 2 Tl 3.55
Fe1 0.5000 0.2500 0.2500  4 Br 2.50

Summary:
ΔE_f (raw) ... -196 meV/atom
Relative energy among the computed polymorphs ... 0.277 eV per formula unit

---

ErAg2Sn | PBE-GGA | relaxed

Unit cell a=3.7918 b=3.7918 c=6.3107 alpha=90.00 beta=90.00 gamma=90.00
Closest atoms and distances in Å follow each position.
Fractional coordinates of all 4 atoms:
Ag1 0.0000 0.0000 0.7574  2 Ag 3.06-3.25, 4 Er 3.09, 4 Sn 3.13
Ag2 0.0000 0.0000 0.2426  2 Ag 3.06-3.25, 4 Er 3.09, 4 Sn 3.13
Sn1 0.5000 0.5000 0.5000  8 Ag 3.13, 2 Er 3.16
Er1 0.5000 0.5000 0.0000  8 Ag 3.09, 2 Sn 3.16

Summary:
Calculated formation energy ... -0.241 eV per atom

---

no.,Fermi-level density of states (states/eV/cell),size of the total moment (μB/cell)
1,10.27,0.00
2,23.39,0.00
3,3.38,0.00
4,0.00,0.00
5,3.39,3.16
6,2.04,0.00